## PrZn2AgAu5 (GGA-PBE)

Data for a geometry-optimized PrZn2AgAu5 structure.

Results
DFT formation energy: -0.2301 eV per atom
DOS(E_F): 3.6 states/eV per cell

a b c (Å): 4.8703 4.8703 7.7976
angles (deg): 90.00 90.00 90.00
Element x y z (fractional)
Pr 0.0000 0.0000 0.5000
Zn 0.5000 0.5000 0.1535
Zn 0.5000 0.5000 0.8465
Ag 0.0000 0.0000 0.0000
Au 0.0000 0.5000 0.2454
Au 0.5000 0.0000 0.2454
Au 0.0000 0.5000 0.7546
Au 0.5000 0.0000 0.7546
Au 0.5000 0.5000 0.5000